(1)
The following is a PBE-GGA calculation of crystalline HfTlNiAu2 at its relaxed geometry, from Alexandria via LeMat-Bulk.

## Properties
Formation energy from the elements   5.26 kcal/mol of atoms
Electronic total energy   -23.5 eV for the cell shown
Total magnetic moment   0.000 μB/atom

a b c (Å): 4.911 4.529 4.911
angles (deg): 90.00 90.00 90.00
Element x y z (fractional)
Hf: 0.000 0.500 0.000
Au: 0.000 0.000 0.500
Au: 0.500 0.000 0.000
Tl: 0.500 0.500 0.500
Ni: 0.000 0.000 0.000

(2)
The following is a PBE-GGA calculation of crystalline Ac2BSe6 at its relaxed geometry, from Alexandria via LeMat-Bulk.

## Properties
ΔE_f (raw)   -91 kJ/mol of atoms
Electronic total energy   -88.6 eV for the cell shown
Total magnetic moment   0.000 μB/atom

a b c (Å): 9.060 10.386 5.756
angles (deg): 90.00 82.00 90.00
Element x y z (fractional)
Se: 0.066 0.089 0.737
Se: 0.364 0.858 0.436
Se: 0.934 0.911 0.263
Se: 0.434 0.589 0.763
Se: 0.334 0.896 0.975
Se: 0.834 0.604 0.475
Se: 0.166 0.396 0.525
Se: 0.864 0.642 0.936
Se: 0.666 0.104 0.025
Se: 0.636 0.142 0.564
Se: 0.566 0.411 0.237
Se: 0.136 0.358 0.064
B: 0.500 0.500 0.000
B: 0.000 0.000 0.500
Ac: 0.347 0.150 0.295
Ac: 0.847 0.350 0.795
Ac: 0.153 0.650 0.205
Ac: 0.653 0.850 0.705

(3)
The following is a PBE-GGA calculation of crystalline Cs2AlVH at its relaxed geometry, from Alexandria via LeMat-Bulk.

## Properties
Electronic total energy   -11.8 eV for the cell shown
Total magnetic moment   0.060 μB/atom

a b c (Å): 5.818 4.159 5.818
angles (deg): 90.00 90.00 90.00
Element x y z (fractional)
Al: 0.000 0.500 0.000
V: 0.500 0.500 0.500
H: 0.000 0.000 0.000
Cs: 0.000 0.000 0.500
Cs: 0.500 0.000 0.000

(4)
The following is a PBE-GGA calculation of crystalline KNiI3 at its relaxed geometry, from Alexandria via LeMat-Bulk.

## Properties
ΔE_f (raw)   -50 kJ/mol of atoms
E above lowest polymorph   14 meV/atom
Electronic total energy   -28.3 eV for the cell shown
Total magnetic moment   0.000 μB/atom

a b c (Å): 7.579 7.579 8.433
angles (deg): 63.43 63.11 90.04
Element x y z (fractional)
I: 0.236 0.535 0.730
I: 0.329 0.539 0.176
I: 0.867 0.991 0.733
I: 0.774 0.987 0.287
I: 0.323 0.079 0.733
I: 0.781 0.447 0.730
Ni: 0.967 0.179 0.901
Ni: 0.136 0.348 0.562
K: 0.301 0.011 0.233
K: 0.801 0.513 0.233

(5)
The following is a PBE-GGA calculation of crystalline BC4 at its relaxed geometry, from Alexandria via LeMat-Bulk.

## Properties
E above lowest polymorph   86 meV/atom
Formation energy from the elements   7.15 kcal/mol of atoms
Electronic total energy   -84.0 eV for the cell shown
Total magnetic moment   0.000 μB/atom

a b c (Å): 4.447 4.447 4.512
angles (deg): 98.77 100.28 131.63
Element x y z (fractional)
C: 0.801 0.401 0.200
C: 0.662 0.963 0.109
C: 0.247 0.737 0.485
C: 0.030 0.130 0.700
C: 0.852 0.562 0.915
C: 0.454 0.353 0.291
C: 0.599 0.799 0.397
C: 0.002 0.002 0.003
B: 0.201 0.601 0.798
B: 0.403 0.203 0.602

(6)
The following is a PBE-GGA calculation of crystalline BaLa2Sb at its relaxed geometry, from Alexandria via LeMat-Bulk.

## Properties
ΔE_f (raw)   -45 kJ/mol of atoms
Electronic total energy   -17.8 eV for the cell shown
Total magnetic moment   0.000 μB/atom

a b c (Å): 7.149 7.149 5.881
angles (deg): 65.77 65.77 34.67
Element x y z (fractional)
Sb: 0.750 0.750 0.750
Ba: 0.250 0.250 0.250
La: 0.046 0.046 0.954
La: 0.454 0.454 0.546

(7)
The following is a PBE-GGA calculation of crystalline Cs2InAuO4 at its relaxed geometry, from Alexandria via LeMat-Bulk.

## Properties
ΔE_f (raw)   -95 kJ/mol of atoms
Electronic total energy   -70.8 eV for the cell shown
Total magnetic moment   0.000 μB/atom

a b c (Å): 6.201 7.861 11.624
angles (deg): 83.96 74.53 66.77
Element x y z (fractional)
O: 0.351 0.810 0.003
O: 0.399 0.690 0.497
O: 0.911 0.690 0.503
O: 0.164 0.190 0.997
O: 0.839 0.810 0.997
O: 0.586 0.310 0.503
O: 0.646 0.190 0.003
O: 0.104 0.310 0.497
Cs: 0.573 0.500 0.855
Cs: 0.823 0.000 0.355
Cs: 0.177 0.000 0.645
Cs: 0.927 0.500 0.145
Au: 0.500 0.000 0.000
Au: 0.250 0.500 0.500
In: 0.750 0.500 0.500
In: 0.000 0.000 0.000

(8)
The following is a PBE-GGA calculation of crystalline DyScBeAu at its relaxed geometry, from Alexandria via LeMat-Bulk.

## Properties
Formation energy from the elements   -7.65 kcal/mol of atoms
Electronic total energy   -19.3 eV for the cell shown
Total magnetic moment   0.000 μB/atom

a b c (Å): 4.850 4.850 4.850
angles (deg): 60.00 60.00 60.00
Element x y z (fractional)
Sc: 0.750 0.750 0.750
Au: 0.000 0.000 0.000
Dy: 0.250 0.250 0.250
Be: 0.500 0.500 0.500

(9)
The following is a PBE-GGA calculation of crystalline Mg2HgBiRh at its relaxed geometry, from Alexandria via LeMat-Bulk.

## Properties
Formation energy from the elements   -2.93 kcal/mol of atoms
Electronic total energy   -15.4 eV for the cell shown
Total magnetic moment   0.000 μB/atom

a b c (Å): 5.134 5.134 5.042
angles (deg): 90.00 90.00 90.00
Element x y z (fractional)
Rh: 0.000 0.000 0.000
Bi: 0.000 0.000 0.500
Mg: 0.000 0.500 0.000
Mg: 0.500 0.000 0.000
Hg: 0.500 0.500 0.500

(10)
The following is a PBE-GGA calculation of crystalline Y3Pt at its relaxed geometry, from Alexandria via LeMat-Bulk.

## Properties
Formation energy from the elements   -15.13 kcal/mol of atoms
Electronic total energy   -224.5 eV for the cell shown
Total magnetic moment   0.000 μB/atom

a b c (Å): 6.378 11.673 11.673
angles (deg): 90.00 90.00 90.00
Element x y z (fractional)
Y: 0.041 0.712 0.155
Y: 0.452 0.088 0.368
Y: 0.459 0.788 0.345
Y: 0.541 0.655 0.788
Y: 0.548 0.632 0.088
Y: 0.048 0.412 0.132
Y: 0.774 0.557 0.365
Y: 0.959 0.155 0.288
Y: 0.726 0.057 0.865
Y: 0.548 0.368 0.912
Y: 0.274 0.865 0.943
Y: 0.726 0.943 0.135
Y: 0.952 0.868 0.412
Y: 0.274 0.135 0.057
Y: 0.459 0.212 0.655
Y: 0.959 0.845 0.712
Y: 0.226 0.365 0.443
Y: 0.226 0.635 0.557
Y: 0.541 0.345 0.212
Y: 0.048 0.588 0.868
Y: 0.452 0.912 0.632
Y: 0.774 0.443 0.635
Y: 0.041 0.288 0.845
Y: 0.952 0.132 0.588
Pt: 0.268 0.566 0.305
Pt: 0.768 0.195 0.066
Pt: 0.268 0.434 0.695
Pt: 0.232 0.934 0.195
Pt: 0.232 0.066 0.805
Pt: 0.732 0.695 0.566
Pt: 0.732 0.305 0.434
Pt: 0.768 0.805 0.934